A plane-wave DFT calculation with PBE-GGA was carried out for an optimized crystal structure of TbPm4Ru.

Lattice parameters (Å, degrees): 6.084 7.535 9.494 113.38 108.72 90.00
Element x y z (fractional)
Tb 0.801 0.801 0.601
Tb 0.199 0.199 0.399
Pm 0.172 0.672 0.344
Pm 0.385 0.137 0.770
Pm 0.000 0.207 0.000
Pm 0.615 0.367 0.230
Pm 0.828 0.328 0.656
Pm 0.615 0.863 0.230
Pm 0.000 0.793 0.000
Pm 0.385 0.633 0.770
Ru 0.261 0.500 0.001
Ru 0.739 0.500 0.999

final energy = -5.535 eV per atom
formation energy = -51 meV per atom



A plane-wave DFT calculation with PBE-GGA was carried out for an optimized crystal structure of PBr2N.

Lattice parameters (Å, degrees): 12.404 12.404 6.881 90.00 90.00 90.00
Element x y z (fractional)
P 0.040 0.842 0.957
P 0.342 0.460 0.457
P 0.842 0.960 0.043
P 0.460 0.658 0.543
P 0.540 0.342 0.543
P 0.158 0.040 0.043
P 0.658 0.540 0.457
P 0.960 0.158 0.957
Br 0.094 0.802 0.660
Br 0.687 0.952 0.888
Br 0.406 0.698 0.840
Br 0.187 0.452 0.612
Br 0.302 0.406 0.160
Br 0.594 0.302 0.840
Br 0.802 0.906 0.340
Br 0.813 0.548 0.612
Br 0.952 0.313 0.112
Br 0.452 0.813 0.388
Br 0.548 0.187 0.388
Br 0.048 0.687 0.112
Br 0.198 0.094 0.340
Br 0.313 0.048 0.888
Br 0.906 0.198 0.660
Br 0.698 0.594 0.160
N 0.417 0.377 0.567
N 0.377 0.583 0.433
N 0.877 0.083 0.067
N 0.583 0.623 0.567
N 0.917 0.877 0.933
N 0.123 0.917 0.067
N 0.083 0.123 0.933
N 0.623 0.417 0.433

final energy = -4.580 eV per atom
uncorrected formation energy = -29.9 kJ/mol of atoms
energy above the lowest structure with this stoichiometry = 0.027 eV per formula unit



In order of appearance, Fermi-level density of states = 1.372 0.000 states/eV/atom.